1.
The following is a PBE calculation of a relaxed Mg2CrMo crystal, from Alexandria.

Calculated values
**Energy above the lowest structure with this stoichiometry**: 0.6881 eV per atom
**Raw total energy**: -4.997 eV per atom
**DOS at the Fermi energy**: 1.725 states/eV/atom
**Calculated volume**: 16.4 A^3/atom
**Energy relative to the elements**: 914 meV/atom

CIF file:
```
data_Mg2CrMo
_chemical_formula_sum 'Mg8 Cr4 Mo4'
_space_group_name_H-M_alt 'F m -3 m'
_space_group_IT_number 225
_space_group_name_Hall '-F 4 2 3'
_cell_length_a 6.404
_cell_length_b 6.404
_cell_length_c 6.404
_cell_angle_alpha 90.00
_cell_angle_beta 90.00
_cell_angle_gamma 90.00
loop_
_atom_site_label
_atom_site_type_symbol
_atom_site_fract_x
_atom_site_fract_y
_atom_site_fract_z
Mg1 Mg 0.250 0.250 0.250
Cr1 Cr 0.000 0.000 0.000
Mo1 Mo 0.000 0.000 0.500
```

=====

2.
The following is a PBE calculation of a relaxed MgCrMo2 crystal, from Alexandria.

Calculated values
**Raw total energy**: -7.809 eV per atom
**DOS at the Fermi energy**: 0.941 states/eV/atom
**Calculated volume**: 15.9 A^3/atom
**Energy relative to the elements**: 411 meV/atom

CIF file:
```
data_MgCrMo2
_chemical_formula_sum 'Mg3 Cr3 Mo6'
_space_group_name_H-M_alt 'R -3 m'
_space_group_IT_number 166
_space_group_name_Hall '-R 3 2"'
_cell_length_a 2.8705
_cell_length_b 2.8705
_cell_length_c 26.6611
_cell_angle_alpha 90.00
_cell_angle_beta 90.00
_cell_angle_gamma 120.00
loop_
_atom_site_label
_atom_site_type_symbol
_atom_site_fract_x
_atom_site_fract_y
_atom_site_fract_z
Mg1 Mg 0.0000 0.0000 0.0000
Cr1 Cr 0.0000 0.0000 0.5000
Mo1 Mo 0.0000 0.0000 0.2400
```